This record from Alexandria via LeMat-Bulk describes a geometry-optimized ScMn2Ni2 structure. The functional is PBE-GGA.

Computed properties:
- Symmetry: I4/mmm
- Formation energy: 0.05 eV/atom
- Final energy: -7.200 eV per atom
- Density of states at the Fermi level: 1.219 states/eV/atom
- Magnetic moment: 2.4 μB/cell

```
ScMn2Ni2
1.0
-1.712 1.712 5.751
1.712 -1.712 5.751
1.712 1.712 -5.751
Sc Mn Ni
1 2 2
Cartesian
0.000 0.000 0.000 Sc
1.712 0.000 2.875 Mn
0.000 1.712 2.875 Mn
0.000 0.000 4.581 Ni
0.000 0.000 6.920 Ni
```


This record from Alexandria via LeMat-Bulk describes a geometry-optimized GeP2OF structure. The functional is PBE-GGA.

Computed properties:
- Symmetry: P4/mmm
- Final energy: -4.119 eV per atom
- Density of states at the Fermi level: 0.626 states/eV/atom
- E_form (uncorrected): 7.7 kcal/mol of atoms
- Magnetic moment: 0.0 μB/cell

```
GeP2OF
1.0
4.835 0.000 0.000
0.000 4.835 0.000
0.000 0.000 3.583
Ge P O F
1 2 1 1
Cartesian
0.000 0.000 0.000 Ge
0.000 2.418 0.000 P
2.418 0.000 0.000 P
0.000 0.000 1.792 O
2.418 2.418 1.792 F
```


This record from Alexandria via LeMat-Bulk describes a geometry-optimized HoMgCdGa structure. The functional is PBE-GGA.

Computed properties:
- Symmetry: F-43m
- Formation energy: -0.35 eV/atom
- Final energy: -2.881 eV per atom
- Density of states at the Fermi level: 0.267 states/eV/atom
- Magnetic moment: 0.0 μB/cell

```
HoMgCdGa
1.0
0.000 3.532 3.532
3.532 0.000 3.532
3.532 3.532 0.000
Ho Mg Cd Ga
1 1 1 1
Cartesian
0.000 0.000 0.000 Ho
3.532 3.532 3.532 Mg
5.298 5.298 5.298 Cd
1.766 1.766 1.766 Ga
```


This record from Alexandria via LeMat-Bulk describes a geometry-optimized Zn2CdSb structure. The functional is PBE-GGA.

Computed properties:
- Symmetry: Fm-3m
- Final energy: -1.729 eV per atom
- Density of states at the Fermi level: 0.568 states/eV/atom
- E_form (uncorrected): 3.9 kcal/mol of atoms
- Magnetic moment: 0.0 μB/cell

```
Zn2CdSb
1.0
0.000 3.498 3.498
3.498 0.000 3.498
3.498 3.498 0.000
Zn Cd Sb
2 1 1
Cartesian
1.749 1.749 1.749 Zn
5.247 5.247 5.247 Zn
0.000 0.000 0.000 Cd
3.498 3.498 3.498 Sb
```


This record from Alexandria via LeMat-Bulk describes a geometry-optimized P2WSe structure. The functional is PBE-GGA.

Computed properties:
- Symmetry: Cm
- Final energy: -6.858 eV per atom
- Density of states at the Fermi level: 0.144 states/eV/atom
- E_form (uncorrected): -1.0 kcal/mol of atoms
- Magnetic moment: 0.0 μB/cell

```
P2WSe
1.0
3.905 -1.628 0.000
3.905 1.628 0.000
-1.363 0.000 6.708
P W Se
2 1 1
Cartesian
0.000 0.000 0.000 P
0.356 0.000 5.455 P
2.644 0.000 4.726 W
5.177 0.000 3.128 Se
```


This record from Alexandria via LeMat-Bulk describes a geometry-optimized Pm10In3Sb3 structure. The functional is PBE-GGA.

Computed properties:
- Symmetry: P-62m
- Final energy: -4.920 eV per atom
- Density of states at the Fermi level: 1.140 states/eV/atom
- E_form (uncorrected): -15.3 kcal/mol of atoms
- Magnetic moment: 0.0 μB/cell

```
Pm10In3Sb3
1.0
9.236 0.000 0.000
-4.618 7.999 0.000
0.000 0.000 6.724
Pm In Sb
10 3 3
Cartesian
-1.113 1.928 0.000 Pm
-3.516 6.090 3.362 Pm
1.102 1.908 3.362 Pm
2.226 0.000 0.000 Pm
0.000 5.332 1.664 Pm
0.000 5.332 5.061 Pm
4.618 2.666 1.664 Pm
4.618 2.666 5.061 Pm
3.505 6.071 0.000 Pm
7.032 0.000 3.362 Pm
-1.833 3.175 3.362 In
3.666 0.000 3.362 In
2.785 4.824 3.362 In
-2.812 4.870 0.000 Sb
1.806 3.128 0.000 Sb
5.624 0.000 0.000 Sb
```